A plane-wave DFT calculation with PBE-GGA was carried out for crystalline CsY3Ag at its relaxed geometry.

Cell lengths 5.7902, 5.7902, 5.7902 Å; angles 90.00, 90.00, 90.00 degrees
Last column: nearest neighbours and their distance in Å.
Fractional positions:
1 Cs 0.5000 0.5000 0.5000  12 Y 4.09
2 Y 0.0000 0.5000 0.0000  2 Ag 2.90
3 Y 0.0000 0.0000 0.5000  2 Ag 2.90
4 Y 0.5000 0.0000 0.0000  2 Ag 2.90
5 Ag 0.0000 0.0000 0.0000  6 Y 2.90

Computed properties:
Energy above the most stable polymorph in this dataset (eV per atom): 0.0000
Space group: Pm-3m
ΔH_f (0 K) (eV per atom): 0.398



A plane-wave DFT calculation with PBE-GGA was carried out for crystalline Cs2YAg at its relaxed geometry.

Cell lengths 9.9292, 9.9292, 9.9292 Å; angles 94.89, 94.89, 146.06 degrees
Last column: nearest neighbours and their distance in Å.
Fractional positions:
1 Cs 0.0179 0.3750 0.1429  2 Ag 3.72
2 Cs 0.2321 0.8750 0.8571  2 Ag 3.72
3 Cs 0.1250 0.9821 0.3571  2 Ag 3.72
4 Cs 0.6250 0.7679 0.6429  2 Ag 3.72
5 Y 0.5000 0.5000 0.0000  2 Ag 2.90
6 Y 0.7500 0.2500 0.5000  2 Ag 2.90
7 Ag 0.0000 0.0000 0.0000  2 Y 2.90
8 Ag 0.2500 0.7500 0.5000  2 Y 2.90

Computed properties:
Energy above the most stable polymorph in this dataset (eV per atom): 0.0000
Space group: I-42d
ΔH_f (0 K) (eV per atom): 0.525



A plane-wave DFT calculation with PBE-GGA was carried out for crystalline Cs2YZrAg at its relaxed geometry.

Cell lengths 6.8840, 5.4161, 6.8840 Å; angles 90.00, 90.00, 90.00 degrees
Last column: nearest neighbours and their distance in Å.
Fractional positions:
1 Cs 0.0000 0.0000 0.5000  2 Y 3.44
2 Cs 0.5000 0.0000 0.0000  2 Y 3.44
3 Y 0.0000 0.0000 0.0000  2 Ag 2.71
4 Zr 0.5000 0.5000 0.5000  8 Cs 4.38, 4 Ag 4.87
5 Ag 0.0000 0.5000 0.0000  2 Y 2.71

Computed properties:
Space group: P4/mmm
ΔH_f (0 K) (eV per atom): 1.530



A plane-wave DFT calculation with PBE-GGA was carried out for crystalline Cs2ZnAg at its relaxed geometry.

Cell lengths 6.4281, 6.4281, 6.4281 Å; angles 60.00, 60.00, 60.00 degrees
Last column: nearest neighbours and their distance in Å.
Fractional positions:
1 Cs 0.2500 0.2500 0.2500  4 Zn 3.94, 4 Ag 3.94
2 Cs 0.7500 0.7500 0.7500  4 Ag 3.94, 4 Zn 3.94
3 Zn 0.0000 0.0000 0.0000  8 Cs 3.94
4 Ag 0.5000 0.5000 0.5000  8 Cs 3.94

Computed properties:
Energy above the most stable polymorph in this dataset (eV per atom): 0.1286
Space group: Fm-3m
ΔH_f (0 K) (eV per atom): 0.162



A plane-wave DFT calculation with PBE-GGA was carried out for crystalline CsZn2Ag at its relaxed geometry.

Cell lengths 4.6168, 4.6168, 7.2696 Å; angles 70.91, 70.91, 60.04 degrees
Last column: nearest neighbours and their distance in Å.
Fractional positions:
1 Cs 0.4987 0.4987 0.5026  1 Zn 3.57, 1 Ag 3.59
2 Zn 0.0017 0.0017 0.9958  3 Ag 2.67, 3 Zn 2.68
3 Zn 0.3223 0.3223 0.0325  3 Zn 2.68, 3 Ag 2.70
4 Ag 0.6773 0.6773 0.9691  6 Zn 2.67-2.70

Computed properties:
Energy above the most stable polymorph in this dataset (eV per atom): 0.0000
Space group: Cm
ΔH_f (0 K) (eV per atom): -0.012



A plane-wave DFT calculation with PBE-GGA was carried out for crystalline Cs2ZnAg at its relaxed geometry.

Cell lengths 4.5806, 4.5806, 9.0682 Å; angles 90.00, 90.00, 90.00 degrees
Last column: nearest neighbours and their distance in Å.
Fractional positions:
1 Cs 0.0000 0.0000 0.7615  4 Ag 3.89, 4 Zn 4.01, 1 Cs 4.32
2 Cs 0.0000 0.0000 0.2385  4 Ag 3.89, 4 Zn 4.01, 1 Cs 4.32
3 Zn 0.5000 0.5000 0.5000  8 Cs 4.01
4 Ag 0.5000 0.5000 0.0000  8 Cs 3.89

Computed properties:
Energy above the most stable polymorph in this dataset (eV per atom): 0.1195
Space group: P4/mmm
ΔH_f (0 K) (eV per atom): 0.153



A plane-wave DFT calculation with PBE-GGA was carried out for crystalline Cs4ZnAg3 at its relaxed geometry.

Cell lengths 5.4585, 5.0444, 13.4693 Å; angles 90.00, 90.00, 90.00 degrees
Last column: nearest neighbours and their distance in Å.
Fractional positions:
1 Cs 0.5000 0.5000 0.3599  6 Ag 3.75-3.91
2 Cs 0.0000 0.5000 0.8498  2 Zn 3.76, 5 Ag 4.00-4.03
3 Cs 0.0000 0.0000 0.1465  3 Ag 3.71-4.09, 4 Zn 3.98
4 Cs 0.5000 0.0000 0.6419  6 Ag 3.75-3.92
5 Zn 0.5000 0.5000 0.0415  2 Ag 2.75
6 Ag 0.0000 0.5000 0.5504  2 Ag 2.86
7 Ag 0.0000 0.0000 0.4504  2 Ag 2.86
8 Ag 0.5000 0.0000 0.9596  2 Zn 2.75

Computed properties:
Space group: Pmm2
ΔH_f (0 K) (eV per atom): 0.040



A plane-wave DFT calculation with PBE-GGA was carried out for crystalline Cs2Zn2Ag at its relaxed geometry.

Cell lengths 7.2354, 7.2354, 6.4517 Å; angles 55.89, 55.89, 90.00 degrees
Last column: nearest neighbours and their distance in Å.
Fractional positions:
1 Cs 0.7500 0.2500 0.5000  4 Zn 3.68, 2 Cs 3.93, 4 Ag 4.12
2 Cs 0.2500 0.7500 0.5000  4 Zn 3.68, 2 Cs 3.93, 4 Ag 4.12
3 Zn 0.3356 0.3356 0.3288  1 Zn 2.58, 1 Ag 2.64
4 Zn 0.6644 0.6644 0.6712  1 Zn 2.58, 1 Ag 2.64
5 Ag 0.0000 0.0000 0.0000  2 Zn 2.64

Computed properties:
Energy above the most stable polymorph in this dataset (eV per atom): 0.1630
Space group: I4/mmm
ΔH_f (0 K) (eV per atom): 0.169



Which value of ΔH_f (0 K) does entry 3 give?
1.530 eV per atom



Look up the ΔH_f (0 K) of the sixth one.
0.153 eV per atom